First-principles (GGA-PBE) data for Co2C3 after structural relaxation, as listed in Alexandria.

a = 5.4178 Å, b = 4.9589 Å, c = 6.9022 Å
α = 51.22°, β = 45.52°, γ = 83.26°
Closest atoms and distances in Å follow each position.
Fractional coordinates of all 10 atoms:
Co: 0.1369 0.8631 0.3652  2 C 1.83-1.95
Co: 0.6152 0.8848 0.3869  2 C 1.83-1.95
Co: 0.8631 0.1369 0.6348  2 C 1.83-1.95
Co: 0.8848 0.6152 0.1131  2 C 1.83-1.95
C: 0.1687 0.1687 0.8313  2 C 1.43
C: 0.2914 0.5005 0.4797  1 C 1.43
C: 0.4187 0.4187 0.0813  2 C 1.43
C: 0.5005 0.2914 0.7284  1 C 1.43
C: 0.5216 0.7703 0.7495  1 C 1.43
C: 0.7703 0.5216 0.9586  1 C 1.43

**Mass density**: 6.1 g cm⁻³
**V**: 8.415 Å³/atom
**Relative energy among the computed polymorphs**: 2.17 eV/f.u.
**SG**: Fdd2 (43)
**Total moment**: 0.00 μB per formula unit